[1]
## CeTiNb2O8 (PBE)

Data for a relaxed CeTiNb2O8 crystal.

Volume (Å³/cell): 154.2
Calculated density (g/cm3): 5.404
Space group: Cmmm, No. 65
Raw formation energy (eV per atom): -2.7927

abc: 4.8874 4.8874 6.4586
angles: 90.00 90.00 91.94
Closest atoms and distances in Å follow each position.
Fractional coordinates of all 12 atoms:
Ce1 0.0000 0.0000 0.0000  6 O 2.29-2.30
Ti1 0.0000 0.0000 0.5000  6 O 1.97-2.07
Nb1 0.5000 0.5000 0.2673  6 O 2.02-2.12
Nb2 0.5000 0.5000 0.7327  6 O 2.02-2.12
O1 0.2036 0.2036 0.2837  1 Ti 1.97, 1 Nb 2.02
O2 0.2036 0.2036 0.7163  1 Ti 1.97, 1 Nb 2.02
O3 0.2949 0.7051 0.5000  1 Ti 2.07, 2 Nb 2.08
O4 0.3252 0.6748 0.0000  2 Nb 2.12, 1 Ce 2.29
O5 0.6748 0.3252 0.0000  2 Nb 2.12, 1 Ce 2.29
O6 0.7051 0.2949 0.5000  1 Ti 2.07, 2 Nb 2.08
O7 0.7964 0.7964 0.2837  1 Ti 1.97, 1 Nb 2.02
O8 0.7964 0.7964 0.7163  1 Ti 1.97, 1 Nb 2.02

[2]
## RbPaGaO6 (PBE)

Data for a relaxed RbPaGaO6 crystal.

Volume (Å³/cell): 144.0
Calculated density (g/cm3): 5.563
Space group: P312, No. 149
Raw formation energy (eV per atom): -1.7667

abc: 5.9868 5.9868 4.6377
angles: 90.00 90.00 120.00
Closest atoms and distances in Å follow each position.
Fractional coordinates of all 9 atoms:
Rb1 0.0000 0.0000 0.0000  12 O 3.19-3.20, 3 Ga 3.46
Pa1 0.6667 0.3333 0.5000  6 O 2.17
Ga1 0.3333 0.6667 0.0000  6 O 1.99
O1 0.0154 0.5066 0.2404  1 Ga 1.99, 1 Pa 2.17
O2 0.0154 0.5088 0.7596  1 Ga 1.99, 1 Pa 2.17
O3 0.4912 0.5066 0.7596  1 Ga 1.99, 1 Pa 2.17
O4 0.4912 0.9846 0.2404  1 Ga 1.99, 1 Pa 2.17
O5 0.4934 0.5088 0.2404  1 Ga 1.99, 1 Pa 2.17
O6 0.4934 0.9846 0.7596  1 Ga 1.99, 1 Pa 2.17

[3]
## ZnHgRu (PBE)

Data for a relaxed ZnHgRu crystal.

Volume (Å³/cell): 50.8
Offset from the most stable computed form (eV/atom): 0.041
Calculated density (g/cm3): 11.989
Space group: P3m1, No. 156

abc: 2.9288 2.9288 6.8435
angles: 90.00 90.00 120.00
Closest atoms and distances in Å follow each position.
Fractional coordinates of all 3 atoms:
Zn1 0.0000 0.0000 0.0000  3 Ru 2.62, 6 Zn 2.93
Hg1 0.6667 0.3333 0.3603  3 Ru 2.92, 6 Hg 2.93, 3 Zn 2.99
Ru1 0.3333 0.6667 0.7083  3 Zn 2.62, 3 Hg 2.92, 6 Ru 2.93

[4]
## LiCeP2Pt7 (PBE)

Data for a relaxed LiCeP2Pt7 crystal.

Volume (Å³/cell): 212.4
Total energy (eV per cell): -64.9
Calculated density (g/cm3): 12.308
Space group: I-4m2, No. 119

abc: 12.8406 12.8406 12.8406
angles: 161.53 161.53 26.24
Closest atoms and distances in Å follow each position.
Fractional coordinates of all 11 atoms:
Li1 0.0000 0.0000 0.0000  4 Pt 2.16
Ce1 0.2500 0.7500 0.5000  12 Pt 2.91-3.01
P1 0.6132 0.1132 0.5000  5 Pt 2.17-2.40
P2 0.8868 0.3868 0.5000  5 Pt 2.17-2.40
Pt1 0.1622 0.1622 0.0000  2 P 2.40
Pt2 0.3373 0.3373 0.0000  2 P 2.40
Pt3 0.5264 0.0264 0.5000  2 Li 2.16, 1 P 2.17
Pt4 0.6627 0.6627 0.0000  2 P 2.40
Pt5 0.7500 0.2500 0.5000  4 Ce 2.91, 8 Pt 3.00-3.01
Pt6 0.8378 0.8378 0.0000  2 P 2.40
Pt7 0.9736 0.4736 0.5000  2 Li 2.16, 1 P 2.17

[5]
## Cd2IrSe (PBE)

Data for a relaxed Cd2IrSe crystal.

Volume (Å³/cell): 79.2
Calculated density (g/cm3): 10.401
Space group: R-3m, No. 166
Raw formation energy (eV per atom): 0.2738

abc: 8.7142 8.7142 8.7142
angles: 21.69 21.69 21.69
Closest atoms and distances in Å follow each position.
Fractional coordinates of all 4 atoms:
Cd1 0.2471 0.2471 0.2471  3 Ir 2.79, 3 Se 2.90
Cd2 0.7529 0.7529 0.7529  3 Ir 2.79, 3 Se 2.90
Ir1 0.5000 0.5000 0.5000  6 Cd 2.79
Se1 0.0000 0.0000 0.0000  6 Cd 2.90

[6]
## MnCoPb2 (PBE)

Data for a relaxed MnCoPb2 crystal.

Volume (Å³/cell): 85.2
Offset from the most stable computed form (eV/atom): 0.000
Calculated density (g/cm3): 10.290
Space group: P4mm, No. 99

abc: 3.2197 3.2197 8.2236
angles: 90.00 90.00 90.00
Closest atoms and distances in Å follow each position.
Fractional coordinates of all 4 atoms:
Mn1 0.0000 0.0000 0.0000  4 Co 2.52
Co1 0.5000 0.5000 0.8678  4 Mn 2.52
Pb1 0.0000 0.0000 0.6399  4 Co 2.95, 1 Mn 2.96, 4 Pb 3.22
Pb2 0.5000 0.5000 0.2378  4 Mn 3.00, 1 Co 3.04, 4 Pb 3.22